Computed, not measured: a geometry-optimized InCoTeO6 structure at the GGA+U level of DFT.

Its density of states at the Fermi level is 3.55 states/eV/f.u. For the total magnetization, the calculation gives 8.07 μB per cell. The total energy comes out at -5.51 eV/atom.

The space group is P-31c (No. 163) and the conventional cell measures 5.3530, 5.3530 and 8.6900 Å, with angles of 90.00, 90.00 and 120.00 degrees. The asymmetric unit holds In at (0.3333, 0.6667, 0.2500), Co at (0.0000, 0.0000, 0.0000), Te at (0.3333, 0.6667, 0.7500) and O at (0.0328, 0.3553, 0.6257).